Compound: Cd2TcAg
Source: Alexandria
Functional: PBE
Structure: relaxed

Structure (POSCAR):
```
Cd2TcAg
1.0
2.8513 0.0000 0.0000
0.0000 4.1586 0.0000
0.0000 0.0000 6.1215
Cd Tc Ag
2 1 1
direct
0.0000 0.0000 0.2422
0.0000 0.0000 0.7578
0.5000 0.5000 0.0000
0.5000 0.5000 0.5000
```

Results
**Energy of formation**: 0.347 eV/atom

Compound: BaAlBO3F2
Source: Alexandria
Functional: PBE
Structure: relaxed

Structure (POSCAR):
```
BaAlBO3F2
1.0
4.9327 0.0000 0.0000
-2.4664 4.2719 0.0000
0.0000 0.0000 9.6319
Ba Al B O F
2 2 2 6 4
direct
0.0000 0.0000 0.0000
0.0000 0.0000 0.5000
0.3333 0.6667 0.2500
0.6667 0.3333 0.7500
0.3333 0.6667 0.7500
0.6667 0.3333 0.2500
0.0557 0.3842 0.7500
0.3286 0.9443 0.7500
0.3842 0.3286 0.2500
0.6158 0.6714 0.7500
0.6714 0.0557 0.2500
0.9443 0.6158 0.2500
0.3333 0.6667 0.0565
0.3333 0.6667 0.4435
0.6667 0.3333 0.5565
0.6667 0.3333 0.9435
```

Results
**Raw formation energy**: -3.1748 eV/atom

Number 1: raw total energy -3.41 eV/atom. Number 2: raw total energy -7.04 eV/atom.